The following is a DFT calculation (GGA-PBE) of a relaxed CsZnFe3 crystal.

```
CsZnFe3
1.0
4.8247 0.0000 0.0000
0.0000 4.8247 0.0000
0.0000 0.0000 4.8247
Cs Zn Fe
1 1 3
Direct
0.0000 0.0000 0.0000
0.5000 0.5000 0.5000
0.0000 0.0000 0.5000
0.0000 0.5000 0.0000
0.5000 0.0000 0.0000
```

Output
DOS(E_F), states/eV/f.u.: 4.1
Calculated density, g/cm³: 5.41
Spin magnetization, μB/atom: 1.4379
Energy above the lowest structure with this stoichiometry, meV per atom: 1142
Calculated formation energy, eV/atom: 2.50

The following is a DFT calculation (GGA-PBE) of a relaxed CsZnFe3 crystal.

```
CsZnFe3
1.0
4.8480 0.0000 0.0000
0.0000 4.8480 0.0000
0.0000 0.0000 4.8480
Cs Zn Fe
1 1 3
Direct
0.0000 0.0000 0.0000
0.5000 0.5000 0.5000
0.0000 0.5000 0.5000
0.5000 0.0000 0.5000
0.5000 0.5000 0.0000
```

Output
DOS(E_F), states/eV/f.u.: 11.3
Calculated density, g/cm³: 5.33
Spin magnetization, μB/atom: 1.8225
Energy above the lowest structure with this stoichiometry, meV per atom: 0
Calculated formation energy, eV/atom: 1.36

The following is a DFT calculation (GGA-PBE) of a relaxed CsZr3Fe crystal.

```
CsZr3Fe
1.0
5.0730 0.0000 0.0000
0.0000 5.0730 0.0000
0.0000 0.0000 5.0730
Cs Zr Fe
1 3 1
Direct
0.0000 0.0000 0.0000
0.0000 0.5000 0.5000
0.5000 0.0000 0.5000
0.5000 0.5000 0.0000
0.5000 0.5000 0.5000
```

Output
DOS(E_F), states/eV/f.u.: 4.3
Calculated density, g/cm³: 5.88
Spin magnetization, μB/atom: 0.0000
Calculated formation energy, eV/atom: 0.72

The following is a DFT calculation (GGA-PBE) of a relaxed CsZr2Fe2 crystal.

```
CsZr2Fe2
1.0
-2.1548 2.1548 7.2717
2.1548 -2.1548 7.2717
2.1548 2.1548 -7.2717
Cs Zr Fe
1 2 2
Direct
0.0000 0.0000 0.0000
0.2500 0.7500 0.5000
0.7500 0.2500 0.5000
0.3494 0.3494 0.0000
0.6506 0.6506 0.0000
```

Output
DOS(E_F), states/eV/f.u.: 7.5
Calculated density, g/cm³: 5.25
Spin magnetization, μB/atom: 0.0001
Calculated formation energy, eV/atom: 0.74

The following is a DFT calculation (GGA-PBE) of a relaxed CsZrFe3 crystal.

```
CsZrFe3
1.0
5.1212 0.0000 0.0000
0.0000 5.1212 0.0000
0.0000 0.0000 5.1212
Cs Zr Fe
1 1 3
Direct
0.0000 0.0000 0.0000
0.5000 0.5000 0.5000
0.0000 0.5000 0.5000
0.5000 0.0000 0.5000
0.5000 0.5000 0.0000
```

Output
DOS(E_F), states/eV/f.u.: 6.0
Calculated density, g/cm³: 4.84
Spin magnetization, μB/atom: 1.4406
Energy above the lowest structure with this stoichiometry, meV per atom: 0
Calculated formation energy, eV/atom: 1.48

The following is a DFT calculation (GGA-PBE) of a relaxed CsZrFe3 crystal.

```
CsZrFe3
1.0
4.6922 0.0000 0.0000
0.0000 4.6922 0.0000
0.0000 0.0000 4.6922
Cs Zr Fe
1 1 3
Direct
0.0000 0.0000 0.0000
0.5000 0.5000 0.5000
0.0000 0.0000 0.5000
0.0000 0.5000 0.0000
0.5000 0.0000 0.0000
```

Output
DOS(E_F), states/eV/f.u.: 9.0
Calculated density, g/cm³: 6.30
Spin magnetization, μB/atom: 0.8701
Energy above the lowest structure with this stoichiometry, meV per atom: 852
Calculated formation energy, eV/atom: 2.33

The following is a DFT calculation (GGA-PBE) of a relaxed CsGa crystal.

```
CsGa
1.0
0.0000 4.1884 4.1884
4.1884 0.0000 4.1884
4.1884 4.1884 0.0000
Cs Ga
1 1
Direct
0.0000 0.0000 0.0000
0.2500 0.2500 0.2500
```

Output
DOS(E_F), states/eV/f.u.: 1.6
Calculated density, g/cm³: 2.29
Spin magnetization, μB/atom: 0.0000
Energy above the lowest structure with this stoichiometry, meV per atom: 789
Calculated formation energy, eV/atom: 0.73

The following is a DFT calculation (GGA-PBE) of a relaxed CsGa crystal.

```
CsGa
1.0
-5.4270 5.4270 5.4270
5.4270 -5.4270 5.4270
5.4270 5.4270 -5.4270
Cs Ga
4 4
Direct
0.0000 0.0000 0.4197
0.0000 0.4197 0.0000
0.4197 0.0000 0.0000
0.5803 0.5803 0.5803
0.0000 0.0000 0.8191
0.0000 0.8191 0.0000
0.1809 0.1809 0.1809
0.8191 0.0000 0.0000
```

Output
DOS(E_F), states/eV/f.u.: 1.2
Calculated density, g/cm³: 2.11
Spin magnetization, μB/atom: 0.5175
Energy above the lowest structure with this stoichiometry, meV per atom: 239
Calculated formation energy, eV/atom: 0.18